No. 1
The following is a DFT calculation (PBE) of a relaxed CeThV4 crystal.

Summary:
**Calculated density**: 8.72 g/cm³
**Energy of formation**: 0.20 eV/atom
**Size of the total moment**: 0.0 μB per cell

Unit cell a=7.598 b=7.598 c=7.598 alpha=90.00 beta=90.00 gamma=90.00
Space group F-43m (No. 216)
Symmetry-distinct sites (fractional):
Ce (0.000, 0.000, 0.000) [4 per cell]
Th (0.250, 0.250, 0.250) [4 per cell]
V (0.126, 0.126, 0.626) [16 per cell]

---

No. 2
The following is a DFT calculation (PBE) of a relaxed CeTh2V crystal.

Summary:
**Calculated density**: 10.44 g/cm³
**Energy of formation**: 0.18 eV/atom
**Size of the total moment**: 1.2 μB per cell

Unit cell a=3.555 b=3.555 c=8.245 alpha=90.00 beta=90.00 gamma=90.00
Space group P4/mmm (No. 123)
Symmetry-distinct sites (fractional):
Ce (0.000, 0.000, 0.000) [1 per cell]
Th (0.500, 0.500, 0.280) [2 per cell]
V (0.000, 0.000, 0.500) [1 per cell]

---

No. 3
The following is a DFT calculation (PBE) of a relaxed CeThW4 crystal.

Summary:
**Calculated density**: 14.81 g/cm³
**Energy of formation**: 0.18 eV/atom
**Size of the total moment**: 0.0 μB per cell

Unit cell a=7.919 b=7.919 c=7.919 alpha=90.00 beta=90.00 gamma=90.00
Space group F-43m (No. 216)
Symmetry-distinct sites (fractional):
Ce (0.000, 0.000, 0.000) [4 per cell]
Th (0.250, 0.250, 0.250) [4 per cell]
W (0.125, 0.125, 0.625) [16 per cell]

---

No. 4
The following is a DFT calculation (PBE) of a relaxed CeY6Th crystal.

Summary:
**Calculated density**: 5.86 g/cm³
**Energy of formation**: 0.05 eV/atom
**Size of the total moment**: 0.9 μB per cell

Unit cell a=6.169 b=6.185 c=7.130 alpha=73.23 beta=89.99 gamma=80.42
Space group P-1 (No. 2)
Symmetry-distinct sites (fractional):
Ce (0.000, 0.000, 0.000) [1 per cell]
Y (0.242, 0.504, 0.374) [2 per cell]
Y (0.244, 0.506, 0.873) [2 per cell]
Y (0.500, 0.001, 0.749) [2 per cell]
Th (0.000, 0.000, 0.500) [1 per cell]

---

No. 5
The following is a DFT calculation (PBE) of a relaxed Ce2YTh crystal.

Summary:
**Calculated density**: 7.97 g/cm³
**Energy of formation**: 0.28 eV/atom
**Size of the total moment**: 11.9 μB per cell

Unit cell a=7.942 b=7.942 c=7.942 alpha=90.00 beta=90.00 gamma=90.00
Space group Fm-3m (No. 225)
Symmetry-distinct sites (fractional):
Ce (0.250, 0.250, 0.250) [8 per cell]
Y (0.000, 0.000, 0.000) [4 per cell]
Th (0.000, 0.000, 0.500) [4 per cell]

---

No. 6
The following is a DFT calculation (PBE) of a relaxed Ce2YTh crystal.

Summary:
**Calculated density**: 8.11 g/cm³
**Energy of formation**: 0.20 eV/atom
**Size of the total moment**: 5.0 μB per cell

Unit cell a=3.4335 b=3.4335 c=36.1592 alpha=90.00 beta=90.00 gamma=120.00
Space group R-3m (No. 166, hexagonal axes)
Symmetry-distinct sites (fractional):
Ce (0.0000, 0.0000, 0.0881) [6 per cell]
Y (0.0000, 0.0000, 0.0000) [3 per cell]
Th (0.0000, 0.0000, 0.5000) [3 per cell]

---

No. 7
The following is a DFT calculation (PBE) of a relaxed Ce2YTh7 crystal.

Summary:
**Calculated density**: 10.59 g/cm³
**Energy of formation**: 0.03 eV/atom
**Size of the total moment**: 0.0 μB per cell

Unit cell a=18.076 b=4.985 c=7.086 alpha=90.00 beta=101.68 gamma=90.00
Space group C2/m (No. 12)
Symmetry-distinct sites (fractional):
Ce (0.199, 0.000, 0.099) [4 per cell]
Y (0.000, 0.000, 0.500) [2 per cell]
Th (0.000, 0.000, 0.000) [2 per cell]
Th (0.101, 0.500, 0.301) [4 per cell]
Th (0.102, 0.500, 0.803) [4 per cell]
Th (0.201, 0.000, 0.603) [4 per cell]

---

No. 8
The following is a DFT calculation (PBE) of a relaxed Ce3YTh2 crystal.

Summary:
**Calculated density**: 9.04 g/cm³
**Energy of formation**: 0.06 eV/atom
**Size of the total moment**: 0.0 μB per cell

Unit cell a=6.958 b=9.819 c=11.031 alpha=90.00 beta=108.32 gamma=90.00
Space group C2/c (No. 15)
Symmetry-distinct sites (fractional):
Ce (0.000, 0.125, 0.250) [4 per cell]
Ce (0.165, 0.375, 0.081) [8 per cell]
Y (0.000, 0.375, 0.750) [4 per cell]
Th (0.166, 0.125, 0.583) [8 per cell]

---

| no. | VASP energy (eV/atom) |
| --- | --- |
| 1 | -8.10 |
| 2 | -7.29 |
| 3 | -10.68 |
| 4 | -6.47 |
| 5 | -6.16 |
| 6 | -6.23 |
| 7 | -7.00 |
| 8 | -6.46 |